# CsSc3Co

A relaxed CsSc3Co crystal (PBE, Alexandria).

The structure in POSCAR format:
```
CsSc3Co
1.0
-4.455 -0.815 2.442
-1.596 -2.955 -3.898
2.020 -4.132 2.306
Co Sc Cs
1 3 1
Direct
0.500 0.500 0.500
0.500 0.000 0.000
0.000 0.000 0.500
0.000 0.500 0.000
0.000 0.000 0.000
```

Summary:
* total magnetization: 0.0 μB/f.u.
* uncorrected energy: -17.2 eV for the cell shown
* symmetry: No. 221
* offset from the most stable computed form: 1634.0 meV per atom
* energy of formation from the pure elements: 1.95 eV per atom

=====

# HfAlTe

A relaxed HfAlTe crystal (PBE, Alexandria).

The structure in POSCAR format:
```
HfAlTe
1.0
3.876 0.000 0.000
0.000 3.876 0.000
0.000 0.000 8.787
Te Hf Al
2 2 2
Direct
0.000 0.500 0.624
0.500 0.000 0.376
0.500 0.000 0.742
0.000 0.500 0.258
0.500 0.500 0.000
0.000 0.000 0.000
```

Summary:
* formation energy without anion corrections: -492 meV per atom
* total magnetization: 0.0 μB/f.u.
* uncorrected energy: -36.6 eV for the cell shown
* symmetry: No. 129
* offset from the most stable computed form: 0.0 meV per atom

=====

# Be2CrRh

A relaxed Be2CrRh crystal (PBE, Alexandria).

The structure in POSCAR format:
```
Be2CrRh
1.0
2.876 0.000 0.000
0.000 4.137 0.000
0.000 0.000 3.737
Cr Rh Be
1 1 2
Direct
0.500 0.000 0.500
0.000 0.500 0.500
0.000 0.000 0.000
0.500 0.500 0.000
```

Summary:
* total magnetization: 1.9 μB/f.u.
* uncorrected energy: -24.6 eV for the cell shown
* symmetry: No. 47
* offset from the most stable computed form: 233.0 meV per atom
* energy of formation from the pure elements: -0.03 eV per atom

=====

# VRhCl

A relaxed VRhCl crystal (PBE, Alexandria).

The structure in POSCAR format:
```
VRhCl
1.0
4.624 0.220 0.656
2.354 2.119 -0.874
0.786 -1.026 12.160
Rh Cl V
2 2 2
Direct
0.624 0.438 0.314
0.376 0.562 0.686
0.425 0.986 0.165
0.575 0.014 0.835
0.088 0.243 0.581
0.912 0.757 0.419
```

Summary:
* formation energy without anion corrections: -348 meV per atom
* total magnetization: 0.0 μB/f.u.
* uncorrected energy: -38.7 eV for the cell shown
* symmetry: No. 2

=====

# TbEr2Sb

A relaxed TbEr2Sb crystal (PBE, Alexandria).

The structure in POSCAR format:
```
TbEr2Sb
1.0
-0.839 -1.027 3.734
3.186 -2.355 0.068
4.013 5.498 2.413
Tb Sb Er
1 1 2
Direct
0.500 0.500 0.500
0.500 0.500 0.000
0.000 0.000 0.224
0.000 0.000 0.776
```

Summary:
* formation energy without anion corrections: -457 meV per atom
* total magnetization: 0.0 μB/f.u.
* uncorrected energy: -19.7 eV for the cell shown
* symmetry: No. 123
* offset from the most stable computed form: 89.3 meV per atom

=====

# ZrTaN2F

A relaxed ZrTaN2F crystal (PBE, Alexandria).

The structure in POSCAR format:
```
ZrTaN2F
1.0
4.106 0.000 0.000
0.000 4.106 0.000
0.000 0.000 3.913
N Ta Zr F
2 1 1 1
Direct
0.500 0.000 0.000
0.000 0.500 0.000
0.000 0.000 0.000
0.500 0.500 0.500
0.000 0.000 0.500
```

Summary:
* formation energy without anion corrections: -831 meV per atom
* total magnetization: 1.3 μB/f.u.
* uncorrected energy: -43.1 eV for the cell shown
* symmetry: No. 123
* offset from the most stable computed form: 0.0 meV per atom

=====

# SrLiTl4Cd2

A relaxed SrLiTl4Cd2 crystal (PBE, Alexandria).

The structure in POSCAR format:
```
SrLiTl4Cd2
1.0
-3.168 0.276 -4.298
-5.312 -0.154 0.580
-3.004 8.782 -0.546
Sr Cd Tl Li
1 2 4 1
Direct
0.000 0.000 0.000
0.743 0.743 0.770
0.257 0.257 0.230
0.867 0.867 0.400
0.612 0.612 0.163
0.388 0.388 0.837
0.133 0.133 0.600
0.500 0.500 0.500
```

Summary:
* total magnetization: 0.0 μB/f.u.
* uncorrected energy: -16.2 eV for the cell shown
* symmetry: No. 166
* energy of formation from the pure elements: -0.17 eV per atom

=====

# La3Pr7Sm2

A relaxed La3Pr7Sm2 crystal (PBE, Alexandria).

The structure in POSCAR format:
```
La3Pr7Sm2
1.0
-1.753 3.085 -0.818
-4.859 -1.653 4.178
5.251 7.322 16.355
Pr La Sm
7 3 2
Direct
0.500 0.244 0.501
0.000 0.562 0.168
0.000 0.438 0.832
0.500 0.756 0.499
0.500 0.057 0.168
0.500 0.943 0.832
0.000 0.000 0.000
0.500 0.500 0.000
0.000 0.883 0.662
0.000 0.117 0.338
0.500 0.619 0.330
0.500 0.381 0.670
```

Summary:
* total magnetization: 0.0 μB/f.u.
* uncorrected energy: -56.9 eV for the cell shown
* symmetry: No. 10
* offset from the most stable computed form: 0.0 meV per atom
* energy of formation from the pure elements: 0.07 eV per atom

=====

# Na2RuRhO4

A relaxed Na2RuRhO4 crystal (PBE, Alexandria).

The structure in POSCAR format:
```
Na2RuRhO4
1.0
-2.683 -1.352 -0.759
2.356 -2.080 -4.623
0.654 -3.603 4.109
O Na Ru Rh
4 2 1 1
Direct
0.000 0.737 0.200
0.500 0.234 0.199
0.500 0.766 0.801
0.000 0.263 0.800
0.500 0.000 0.500
0.000 0.500 0.500
0.500 0.500 0.000
0.000 0.000 0.000
```

Summary:
* formation energy without anion corrections: -1085 meV per atom
* total magnetization: 1.0 μB/f.u.
* uncorrected energy: -47.8 eV for the cell shown
* symmetry: No. 10

=====

# SmCo2B4

A relaxed SmCo2B4 crystal (PBE, Alexandria).

The structure in POSCAR format:
```
SmCo2B4
1.0
3.019 0.000 -0.688
-0.170 3.194 -0.746
0.103 0.050 7.418
Sm B Co
1 4 2
Direct
0.500 0.000 0.000
0.339 0.339 0.678
0.113 0.613 0.225
0.887 0.387 0.775
0.661 0.661 0.322
0.195 0.195 0.391
0.805 0.805 0.609
```

Summary:
* total magnetization: 0.0 μB/f.u.
* uncorrected energy: -47.6 eV for the cell shown
* symmetry: No. 71
* energy of formation from the pure elements: -0.28 eV per atom

=====

# Tc3IrN

A relaxed Tc3IrN crystal (PBE, Alexandria).

The structure in POSCAR format:
```
Tc3IrN
1.0
4.025 0.000 0.000
0.000 4.025 0.000
0.000 0.000 4.025
Ir Tc N
1 3 1
Direct
0.500 0.500 0.500
0.500 0.000 0.000
0.000 0.000 0.500
0.000 0.500 0.000
0.000 0.000 0.000
```

Summary:
* formation energy without anion corrections: -8 meV per atom
* total magnetization: 0.0 μB/f.u.
* uncorrected energy: -48.3 eV for the cell shown
* symmetry: No. 221
* offset from the most stable computed form: 0.0 meV per atom

=====

# CdRuSe4

A relaxed CdRuSe4 crystal (PBE, Alexandria).

The structure in POSCAR format:
```
CdRuSe4
1.0
2.434 -3.753 -3.507
-1.134 -5.544 0.539
-3.127 -2.657 -3.933
Se Ru Cd
4 1 1
Direct
0.876 0.375 0.375
0.375 0.375 0.375
0.375 0.375 0.876
0.375 0.876 0.375
0.000 0.000 0.000
0.750 0.750 0.750
```

Summary:
* formation energy without anion corrections: 902 meV per atom
* total magnetization: 2.6 μB/f.u.
* uncorrected energy: -18.7 eV for the cell shown
* symmetry: No. 216